Computed, not measured: a relaxed NbCrI2O crystal at the PBE+U level of DFT.

a b c (Å): 5.7165 5.7165 3.6617
angles (deg): 90.00 90.00 90.00
Closest atoms and distances in Å follow each position.
Fractional positions:
Nb (0.5000, 0.5000, 0.5000)  8 I 3.39, 2 Nb 3.66
I (0.0000, 0.5000, 0.0000)  2 Cr 2.86
I (0.5000, 0.0000, 0.0000)  2 Cr 2.86
O (0.0000, 0.0000, 0.5000)  2 Cr 1.83
Cr (0.0000, 0.0000, 0.0000)  2 O 1.83

Calculated values
Calculated volume (Å³ per cell): 119.7
M_tot (μB/cell): 6.616
E_tot (eV/atom): -5.0992
Relative energy among the computed polymorphs (eV/atom): 0.5348